No. 1
Entry from Alexandria: a crystal of CeSm3 relaxed with PBEsol (SCAN).

a b c (Å): 7.0457 7.0457 5.7128
angles (deg): 90.00 90.00 120.00
Space group P6_3/mmc (No. 194)
Asymmetric unit:
Ce  0.3333  0.6667  0.2500
Sm  0.1678  0.3356  0.7500

- polymorph energy (0 for the lowest one) (meV/atom) = 21



No. 2
Entry from Alexandria: a crystal of MnNiMo2 relaxed with PBEsol (SCAN).

a b c (Å): 2.5836 4.2574 4.7255
angles (deg): 90.00 95.49 90.00
Space group Pm (No. 6)
Asymmetric unit:
Mn  0.0000  0.0000  0.0000
Ni  0.0292  0.5000  0.7069
Mo  0.4355  0.0000  0.5116
Mo  0.6364  0.5000  0.1926

- polymorph energy (0 for the lowest one) (meV/atom) = 37



No. 3
Entry from Alexandria: a crystal of BaIr2 relaxed with PBEsol (SCAN).

a b c (Å): 6.5553 6.5553 6.5553
angles (deg): 90.00 90.00 90.00
Space group Fm-3m (No. 225)
Asymmetric unit:
Ba  0.0000  0.0000  0.0000
Ir  0.2500  0.2500  0.2500



No. 4
Entry from Alexandria: a crystal of Ir2Rh relaxed with PBEsol (SCAN).

a b c (Å): 2.6952 2.6952 6.6046
angles (deg): 90.00 90.00 120.00
Space group P-3m1 (No. 164)
Asymmetric unit:
Ir  0.3333  0.6667  0.1667
Rh  0.0000  0.0000  0.5000

- polymorph energy (0 for the lowest one) (meV/atom) = 11



No. 5
Entry from Alexandria: a crystal of ZnCoNi6 relaxed with PBEsol (SCAN).

a b c (Å): 6.9727 9.8656 9.8774
angles (deg): 90.00 90.00 90.00
Space group Cmmm (No. 65)
Asymmetric unit:
Zn  0.0000  0.0000  0.2502
Zn  0.0000  0.2481  0.0000
Co  0.0000  0.2486  0.5000
Co  0.0000  0.5000  0.2488
Ni  0.0000  0.0000  0.0000
Ni  0.0000  0.0000  0.5000
Ni  0.0000  0.2521  0.2546
Ni  0.0000  0.5000  0.0000
Ni  0.0000  0.5000  0.5000
Ni  0.2465  0.3739  0.3772
Ni  0.2459  0.3761  0.1273



No. 6
Entry from Alexandria: a crystal of Tl2RhAu relaxed with PBEsol (SCAN).

a b c (Å): 3.2524 3.2524 7.6979
angles (deg): 90.00 90.00 90.00
Space group P4mm (No. 99)
Asymmetric unit:
Tl  0.0000  0.0000  0.0000
Tl  0.5000  0.5000  0.3395
Rh  0.5000  0.5000  0.7935
Au  0.0000  0.0000  0.5903



No. 7
Entry from Alexandria: a crystal of TlInPb relaxed with PBEsol (SCAN).

a b c (Å): 3.4111 4.7297 10.3021
angles (deg): 90.00 90.00 90.00
Space group Imm2 (No. 44)
Asymmetric unit:
Tl  0.0000  0.0000  0.0000
In  0.0000  0.0000  0.6648
Pb  0.0000  0.0000  0.3295

- polymorph energy (0 for the lowest one) (meV/atom) = 1



No. 8
Entry from Alexandria: a crystal of MgAlIO2 relaxed with PBEsol (SCAN).

a b c (Å): 3.7841 3.7841 5.5461
angles (deg): 90.00 90.00 90.00
Space group P4/mmm (No. 123)
Asymmetric unit:
Mg  0.0000  0.0000  0.0000
Al  0.5000  0.5000  0.5000
I  0.5000  0.5000  0.0000
O  0.0000  0.5000  0.5000

- formation energy from raw total energies (eV per formula unit) = -6.3



No. 9
Entry from Alexandria: a crystal of KGaH4 relaxed with PBEsol (SCAN).

a b c (Å): 8.6748 5.3535 7.0054
angles (deg): 90.00 90.00 90.00
Space group Pnma (No. 62)
Asymmetric unit:
K  0.1749  0.2500  0.1668
Ga  0.0718  0.2500  0.6885
H  0.0873  0.0106  0.8234
H  0.0916  0.7500  0.4123
H  0.2123  0.2500  0.5435



No. 10
Entry from Alexandria: a crystal of MoIF3 relaxed with PBEsol (SCAN).

a b c (Å): 4.6795 4.6795 4.6795
angles (deg): 90.00 90.00 90.00
Space group Pm-3m (No. 221)
Asymmetric unit:
Mo  0.0000  0.0000  0.0000
I  0.5000  0.5000  0.5000
F  0.0000  0.5000  0.5000

- formation energy from raw total energies (eV per formula unit) = 0.2



No. 11
Entry from Alexandria: a crystal of BaGeBr2 relaxed with PBEsol (SCAN).

a b c (Å): 7.7463 7.7463 7.7463
angles (deg): 90.00 90.00 90.00
Space group Fm-3m (No. 225)
Asymmetric unit:
Ba  0.0000  0.0000  0.0000
Ge  0.0000  0.0000  0.5000
Br  0.2500  0.2500  0.2500

- formation energy from raw total energies (eV per formula unit) = -3.7



No. 12
Entry from Alexandria: a crystal of BaYCd2 relaxed with PBEsol (SCAN).

a b c (Å): 7.9156 7.9237 3.7535
angles (deg): 90.00 90.00 90.00
Space group Cmmm (No. 65)
Asymmetric unit:
Ba  0.0000  0.0000  0.0000
Y  0.0000  0.5000  0.0000
Cd  0.2500  0.2500  0.5000

- polymorph energy (0 for the lowest one) (meV/atom) = 100



No. 13
Entry from Alexandria: a crystal of Ho3Ge13Ir4 relaxed with PBEsol (SCAN).

a b c (Å): 8.9078 8.9078 8.9078
angles (deg): 90.00 90.00 90.00
Space group Pm-3n (No. 223)
Asymmetric unit:
Ho  0.0000  0.2500  0.5000
Ge  0.0000  0.0000  0.0000
Ge  0.0000  0.3083  0.1445
Ir  0.2500  0.2500  0.2500



No. 14
Entry from Alexandria: a crystal of In2TcNi relaxed with PBEsol (SCAN).

a b c (Å): 8.7265 2.8785 5.3097
angles (deg): 90.00 101.50 90.00
Space group C2/m (No. 12)
Asymmetric unit:
In  0.2435  0.0000  0.2407
Tc  0.0000  0.0000  0.5000
Ni  0.0000  0.5000  0.0000



No. 15
Entry from Alexandria: a crystal of Ag3AuSe2 relaxed with PBEsol (SCAN).

a b c (Å): 9.8308 9.8308 9.8308
angles (deg): 90.00 90.00 90.00
Space group I4_132 (No. 214)
Asymmetric unit:
Ag  0.0000  0.2500  0.3697
Au  0.1250  0.1250  0.1250
Se  0.0210  0.4790  0.5210

- formation energy from raw total energies (eV per formula unit) = -0.7



No. 16
Entry from Alexandria: a crystal of Ca2TcTe relaxed with PBEsol (SCAN).

a b c (Å): 4.0731 4.0731 6.3461
angles (deg): 90.00 90.00 90.00
Space group P4mm (No. 99)
Asymmetric unit:
Ca  0.0000  0.0000  0.0000
Ca  0.5000  0.5000  0.3293
Tc  0.0000  0.0000  0.5116
Te  0.5000  0.5000  0.8035

- formation energy from raw total energies (eV per formula unit) = 0.0



No. 17
Entry from Alexandria: a crystal of Li4Mn5Sn3O16 relaxed with PBEsol (SCAN).

a b c (Å): 10.3129 6.0477 9.5950
angles (deg): 90.00 90.54 90.00
Space group Cm (No. 8)
Asymmetric unit:
Li  0.0000  0.0000  0.0000
Li  0.0019  0.0000  0.4912
Li  0.1367  0.5000  0.5950
Li  0.3053  0.0000  0.1087
Mn  0.0652  0.2565  0.2770
Mn  0.1348  0.5000  0.0049
Mn  0.1418  0.0000  0.7732
Mn  0.3094  0.0000  0.4976
Sn  0.3128  0.5000  0.2793
Sn  0.3874  0.2474  0.7796
O  0.0644  0.2406  0.8881
O  0.1383  0.5000  0.3862
O  0.1547  0.0000  0.3830
O  0.2122  0.2743  0.1563
O  0.2257  0.2184  0.6517
O  0.3005  0.0000  0.8948
O  0.3177  0.5000  0.9040
O  0.4116  0.2553  0.3910
O  0.4542  0.0000  0.6469
O  0.4779  0.5000  0.6742
O  0.4932  0.5000  0.1846
O  0.4971  0.0000  0.1569

- formation energy from raw total energies (eV per formula unit) = -56.8



No. 18
Entry from Alexandria: a crystal of TlAu2 relaxed with PBEsol (SCAN).

a b c (Å): 3.7473 3.7473 18.7637
angles (deg): 90.00 90.00 90.00
Space group I4_1/amd (No. 141, origin choice 2)
Asymmetric unit:
Tl  0.0000  0.2500  0.3750
Au  0.0000  0.2500  0.8012

- polymorph energy (0 for the lowest one) (meV/atom) = 79



No. 19
Entry from Alexandria: a crystal of Na2AgAu2 relaxed with PBEsol (SCAN).

a b c (Å): 7.0008 7.0008 4.3357
angles (deg): 90.00 90.00 90.00
Space group P4/mbm (No. 127)
Asymmetric unit:
Na  0.1686  0.3314  0.0000
Ag  0.0000  0.0000  0.5000
Au  0.1366  0.6366  0.5000



No. 20
Entry from Alexandria: a crystal of Ca2Mg relaxed with PBEsol (SCAN).

a b c (Å): 5.7727 5.7727 7.0342
angles (deg): 90.00 90.00 120.00
Space group P6_3/mmc (No. 194)
Asymmetric unit:
Ca  0.0000  0.0000  0.0000
Ca  0.3333  0.6667  0.2500
Mg  0.3333  0.6667  0.7500



No. 21
Entry from Alexandria: a crystal of K2BeZnSb relaxed with PBEsol (SCAN).

a b c (Å): 6.6638 6.6638 5.1181
angles (deg): 90.00 90.00 90.00
Space group P4/mmm (No. 123)
Asymmetric unit:
K  0.0000  0.5000  0.0000
Be  0.0000  0.0000  0.5000
Zn  0.5000  0.5000  0.5000
Sb  0.5000  0.5000  0.0000

- formation energy from raw total energies (eV per formula unit) = 2.6



No. 22
Entry from Alexandria: a crystal of ScTl2NiS relaxed with PBEsol (SCAN).

a b c (Å): 5.5418 5.5418 3.9392
angles (deg): 90.00 90.00 90.00
Space group P4/mmm (No. 123)
Asymmetric unit:
Sc  0.0000  0.0000  0.0000
Tl  0.0000  0.5000  0.5000
Ni  0.5000  0.5000  0.0000
S  0.5000  0.5000  0.5000

- formation energy from raw total energies (eV per formula unit) = 0.9



| no. | D(E_F) (states/eV/atom) | electronic total energy (eV/cell) |
| --- | --- | --- |
| 1 | 1.752 | -355.11 |
| 2 | 0.904 | -103.83 |
| 3 | 1.494 | -703.00 |
| 4 | 0.795 | -176.04 |
| 5 | 0.684 | -1026.29 |
| 6 | 0.519 | -246.97 |
| 7 | 0.409 | -362.83 |
| 8 | 0.219 | -68.23 |
| 9 | 0.000 | -159.95 |
| 10 | 0.385 | -82.04 |
| 11 | 0.683 | -405.20 |
| 12 | 0.547 | -258.93 |
| 13 | 0.326 | -1383.66 |
| 14 | 0.515 | -233.24 |
| 15 | 0.012 | -1633.09 |
| 16 | 0.104 | -91.61 |
| 17 | 0.083 | -730.24 |
| 18 | 0.243 | -841.63 |
| 19 | 0.241 | -358.66 |
| 20 | 0.941 | -48.64 |
| 21 | 0.400 | -69.22 |
| 22 | 0.732 | -183.84 |